## GaTcP2Cl (GGA-PBE)

Data for a relaxed structure of GaTcP2Cl.

a = 4.7259 Å, b = 4.7259 Å, c = 4.7113 Å
α = 90.00°, β = 90.00°, γ = 90.00°
Closest atoms and distances in Å follow each position.
Atoms (fractional coordinates):
P1 0.0000 0.5000 0.0000  2 Ga 2.36
Cl1 0.0000 0.0000 0.5000  2 Ga 2.36
Tc1 0.5000 0.5000 0.5000  8 P 3.34, 4 Cl 3.34
Ga1 0.0000 0.0000 0.0000  2 Cl 2.36, 4 P 2.36
P2 0.5000 0.0000 0.0000  2 Ga 2.36

Output
E_tot   -4.1657 eV per atom
Formation energy without anion corrections   505 kJ/mol of formula units
Space group   No. 123
Fermi-level density of states   2.6 states/eV/cell
Energy relative to the lowest polymorph listed for this composition   420.7 kJ/mol of formula units



## TiGaPCl2 (GGA-PBE)

Data for a relaxed structure of TiGaPCl2.

a = 4.8337 Å, b = 4.8337 Å, c = 4.8826 Å
α = 90.00°, β = 90.00°, γ = 90.00°
Closest atoms and distances in Å follow each position.
Atoms (fractional coordinates):
Ti1 0.0000 0.0000 0.0000  4 Cl 2.42, 2 P 2.44
P1 0.0000 0.0000 0.5000  2 Ti 2.44
Ga1 0.5000 0.5000 0.5000  4 P 3.42, 8 Cl 3.44
Cl1 0.5000 0.0000 0.0000  2 Ti 2.42
Cl2 0.0000 0.5000 0.0000  2 Ti 2.42

Output
E_tot   -4.5788 eV per atom
Formation energy without anion corrections   -277 kJ/mol of formula units
Space group   No. 123
Fermi-level density of states   3.0 states/eV/cell
Energy relative to the lowest polymorph listed for this composition   0.0 kJ/mol of formula units



## TiGaPCl2 (GGA-PBE)

Data for a relaxed structure of TiGaPCl2.

a = 4.7285 Å, b = 4.7285 Å, c = 4.9216 Å
α = 90.00°, β = 90.00°, γ = 90.00°
Closest atoms and distances in Å follow each position.
Atoms (fractional coordinates):
Cl1 0.5000 0.0000 0.0000  2 Ga 2.36
Cl2 0.0000 0.5000 0.0000  2 Ga 2.36
Ga1 0.0000 0.0000 0.0000  4 Cl 2.36, 2 P 2.46
Ti1 0.5000 0.5000 0.5000  4 P 3.34, 8 Cl 3.41
P1 0.0000 0.0000 0.5000  2 Ga 2.46

Output
E_tot   -3.8616 eV per atom
Formation energy without anion corrections   69 kJ/mol of formula units
Space group   No. 123
Fermi-level density of states   7.2 states/eV/cell
Energy relative to the lowest polymorph listed for this composition   346.0 kJ/mol of formula units



## TlGaPCl2 (GGA-PBE)

Data for a relaxed structure of TlGaPCl2.

a = 5.6122 Å, b = 5.6122 Å, c = 5.2298 Å
α = 90.00°, β = 90.00°, γ = 90.00°
Closest atoms and distances in Å follow each position.
Atoms (fractional coordinates):
Cl1 0.0000 0.5000 0.0000  2 Tl 2.81
Ga1 0.5000 0.5000 0.5000  8 Cl 3.84, 4 P 3.97
P1 0.0000 0.0000 0.5000  2 Tl 2.61
Tl1 0.0000 0.0000 0.0000  2 P 2.61, 4 Cl 2.81
Cl2 0.5000 0.0000 0.0000  2 Tl 2.81

Output
E_tot   -2.7992 eV per atom
Formation energy without anion corrections   48 kJ/mol of formula units
Space group   No. 123
Fermi-level density of states   2.0 states/eV/cell
Energy relative to the lowest polymorph listed for this composition   180.1 kJ/mol of formula units



## TlGaPCl2 (GGA-PBE)

Data for a relaxed structure of TlGaPCl2.

a = 5.1311 Å, b = 5.1311 Å, c = 4.8453 Å
α = 90.00°, β = 90.00°, γ = 90.00°
Closest atoms and distances in Å follow each position.
Atoms (fractional coordinates):
Tl1 0.5000 0.5000 0.5000  8 Cl 3.53, 4 P 3.63
P1 0.0000 0.0000 0.5000  2 Ga 2.42
Ga1 0.0000 0.0000 0.0000  2 P 2.42, 4 Cl 2.57
Cl1 0.5000 0.0000 0.0000  2 Ga 2.57
Cl2 0.0000 0.5000 0.0000  2 Ga 2.57

Output
E_tot   -3.1726 eV per atom
Formation energy without anion corrections   -132 kJ/mol of formula units
Space group   No. 123
Fermi-level density of states   2.8 states/eV/cell
Energy relative to the lowest polymorph listed for this composition   0.0 kJ/mol of formula units



## VGaP2Cl (GGA-PBE)

Data for a relaxed structure of VGaP2Cl.

a = 4.5056 Å, b = 4.5056 Å, c = 5.1806 Å
α = 90.00°, β = 90.00°, γ = 90.00°
Closest atoms and distances in Å follow each position.
Atoms (fractional coordinates):
Cl1 0.0000 0.0000 0.5000  2 V 2.59
P1 0.5000 0.0000 0.0000  2 V 2.25
P2 0.0000 0.5000 0.0000  2 V 2.25
V1 0.0000 0.0000 0.0000  4 P 2.25
Ga1 0.5000 0.5000 0.5000  4 Cl 3.19, 8 P 3.43

Output
E_tot   -4.9735 eV per atom
Formation energy without anion corrections   -5 kJ/mol of formula units
Space group   No. 123
Fermi-level density of states   2.1 states/eV/cell
Energy relative to the lowest polymorph listed for this composition   0.0 kJ/mol of formula units



## VGaPCl2 (GGA-PBE)

Data for a relaxed structure of VGaPCl2.

a = 4.7294 Å, b = 4.7294 Å, c = 4.9901 Å
α = 90.00°, β = 90.00°, γ = 90.00°
Closest atoms and distances in Å follow each position.
Atoms (fractional coordinates):
P1 0.0000 0.0000 0.5000  2 Ga 2.50
V1 0.5000 0.5000 0.5000  4 P 3.34, 8 Cl 3.44
Cl1 0.0000 0.5000 0.0000  2 Ga 2.36
Ga1 0.0000 0.0000 0.0000  4 Cl 2.36, 2 P 2.50
Cl2 0.5000 0.0000 0.0000  2 Ga 2.36

Output
E_tot   -3.9219 eV per atom
Formation energy without anion corrections   158 kJ/mol of formula units
Space group   No. 123
Fermi-level density of states   4.6 states/eV/cell
Energy relative to the lowest polymorph listed for this composition   311.0 kJ/mol of formula units



## VGaP2Cl (GGA-PBE)

Data for a relaxed structure of VGaP2Cl.

a = 4.6436 Å, b = 4.6436 Å, c = 4.7729 Å
α = 90.00°, β = 90.00°, γ = 90.00°
Closest atoms and distances in Å follow each position.
Atoms (fractional coordinates):
P1 0.0000 0.5000 0.0000  2 Ga 2.32
P2 0.5000 0.0000 0.0000  2 Ga 2.32
V1 0.5000 0.5000 0.5000  4 Cl 3.28, 8 P 3.33
Ga1 0.0000 0.0000 0.0000  4 P 2.32, 2 Cl 2.39
Cl1 0.0000 0.0000 0.5000  2 Ga 2.39

Output
E_tot   -4.0395 eV per atom
Formation energy without anion corrections   445 kJ/mol of formula units
Space group   No. 123
Fermi-level density of states   6.8 states/eV/cell
Energy relative to the lowest polymorph listed for this composition   450.6 kJ/mol of formula units



## VGaPCl2 (GGA-PBE)

Data for a relaxed structure of VGaPCl2.

a = 4.9014 Å, b = 4.9014 Å, c = 4.6826 Å
α = 90.00°, β = 90.00°, γ = 90.00°
Closest atoms and distances in Å follow each position.
Atoms (fractional coordinates):
Cl1 0.0000 0.5000 0.0000  2 V 2.45
V1 0.0000 0.0000 0.0000  2 P 2.34, 4 Cl 2.45
P1 0.0000 0.0000 0.5000  2 V 2.34
Cl2 0.5000 0.0000 0.0000  2 V 2.45
Ga1 0.5000 0.5000 0.5000  8 Cl 3.39, 4 P 3.47

Output
E_tot   -4.5666 eV per atom
Formation energy without anion corrections   -153 kJ/mol of formula units
Space group   No. 123
Fermi-level density of states   1.9 states/eV/cell
Energy relative to the lowest polymorph listed for this composition   0.0 kJ/mol of formula units



## GaPWCl2 (GGA-PBE)

Data for a relaxed structure of GaPWCl2.

a = 4.5952 Å, b = 4.5952 Å, c = 5.1494 Å
α = 90.00°, β = 90.00°, γ = 90.00°
Closest atoms and distances in Å follow each position.
Atoms (fractional coordinates):
Cl1 0.5000 0.0000 0.0000  2 Ga 2.30
Ga1 0.0000 0.0000 0.0000  4 Cl 2.30
W1 0.5000 0.5000 0.5000  4 P 3.25, 8 Cl 3.45
P1 0.0000 0.0000 0.5000  2 Ga 2.57
Cl2 0.0000 0.5000 0.0000  2 Ga 2.30

Output
E_tot   -4.0364 eV per atom
Formation energy without anion corrections   473 kJ/mol of formula units
Space group   No. 123
Fermi-level density of states   5.2 states/eV/cell
Energy relative to the lowest polymorph listed for this composition   422.2 kJ/mol of formula units



## GaPWCl2 (GGA-PBE)

Data for a relaxed structure of GaPWCl2.

a = 4.9488 Å, b = 4.9488 Å, c = 4.7310 Å
α = 90.00°, β = 90.00°, γ = 90.00°
Closest atoms and distances in Å follow each position.
Atoms (fractional coordinates):
Cl1 0.5000 0.0000 0.0000  2 W 2.47
Cl2 0.0000 0.5000 0.0000  2 W 2.47
W1 0.0000 0.0000 0.0000  2 P 2.37, 4 Cl 2.47
Ga1 0.5000 0.5000 0.5000  8 Cl 3.42, 4 P 3.50
P1 0.0000 0.0000 0.5000  2 W 2.37

Output
E_tot   -4.9115 eV per atom
Formation energy without anion corrections   51 kJ/mol of formula units
Space group   No. 123
Fermi-level density of states   2.3 states/eV/cell
Energy relative to the lowest polymorph listed for this composition   0.0 kJ/mol of formula units



## YGaP2Cl (GGA-PBE)

Data for a relaxed structure of YGaP2Cl.

a = 4.7087 Å, b = 4.7087 Å, c = 4.8677 Å
α = 90.00°, β = 90.00°, γ = 90.00°
Closest atoms and distances in Å follow each position.
Atoms (fractional coordinates):
Cl1 0.0000 0.0000 0.5000  2 Ga 2.43
Ga1 0.0000 0.0000 0.0000  4 P 2.35, 2 Cl 2.43
P1 0.5000 0.0000 0.0000  2 Ga 2.35
Y1 0.5000 0.5000 0.5000  4 Cl 3.33, 8 P 3.39
P2 0.0000 0.5000 0.0000  2 Ga 2.35

Output
E_tot   -4.7047 eV per atom
Formation energy without anion corrections   -132 kJ/mol of formula units
Space group   No. 123
Fermi-level density of states   2.3 states/eV/cell
Energy relative to the lowest polymorph listed for this composition   0.0 kJ/mol of formula units



## YGaP2Cl (GGA-PBE)

Data for a relaxed structure of YGaP2Cl.

a = 5.3586 Å, b = 5.3586 Å, c = 5.2987 Å
α = 90.00°, β = 90.00°, γ = 90.00°
Closest atoms and distances in Å follow each position.
Atoms (fractional coordinates):
P1 0.5000 0.0000 0.0000  2 Y 2.68
P2 0.0000 0.5000 0.0000  2 Y 2.68
Cl1 0.0000 0.0000 0.5000  2 Y 2.65
Y1 0.0000 0.0000 0.0000  2 Cl 2.65, 4 P 2.68
Ga1 0.5000 0.5000 0.5000  8 P 3.77, 4 Cl 3.79

Output
E_tot   -4.5074 eV per atom
Formation energy without anion corrections   -37 kJ/mol of formula units
Space group   No. 123
Fermi-level density of states   4.0 states/eV/cell
Energy relative to the lowest polymorph listed for this composition   95.2 kJ/mol of formula units



## ZrGaP2Cl (GGA-PBE)

Data for a relaxed structure of ZrGaP2Cl.

a = 5.0447 Å, b = 5.0447 Å, c = 5.1901 Å
α = 90.00°, β = 90.00°, γ = 90.00°
Closest atoms and distances in Å follow each position.
Atoms (fractional coordinates):
P1 0.0000 0.5000 0.0000  2 Zr 2.52
Zr1 0.0000 0.0000 0.0000  4 P 2.52, 2 Cl 2.60
Cl1 0.0000 0.0000 0.5000  2 Zr 2.60
P2 0.5000 0.0000 0.0000  2 Zr 2.52
Ga1 0.5000 0.5000 0.5000  4 Cl 3.57, 8 P 3.62

Output
E_tot   -5.0245 eV per atom
Formation energy without anion corrections   -85 kJ/mol of formula units
Space group   No. 123
Fermi-level density of states   3.4 states/eV/cell
Energy relative to the lowest polymorph listed for this composition   0.0 kJ/mol of formula units



## ZrGaPCl2 (GGA-PBE)

Data for a relaxed structure of ZrGaPCl2.

a = 4.6914 Å, b = 4.6914 Å, c = 4.9467 Å
α = 90.00°, β = 90.00°, γ = 90.00°
Closest atoms and distances in Å follow each position.
Atoms (fractional coordinates):
Cl1 0.5000 0.0000 0.0000  2 Ga 2.35
Ga1 0.0000 0.0000 0.0000  4 Cl 2.35, 2 P 2.47
P1 0.0000 0.0000 0.5000  2 Ga 2.47
Zr1 0.5000 0.5000 0.5000  4 P 3.32, 8 Cl 3.41
Cl2 0.0000 0.5000 0.0000  2 Ga 2.35

Output
E_tot   -4.0952 eV per atom
Formation energy without anion corrections   20 kJ/mol of formula units
Space group   No. 123
Fermi-level density of states   4.3 states/eV/cell
Energy relative to the lowest polymorph listed for this composition   347.7 kJ/mol of formula units